(1)
Density functional theory data (PBE) for crystalline Ca2ScI at its relaxed geometry.

abc: 5.8033 5.8033 5.8033
angles: 60.00 60.00 60.00
With the nearest neighbours (Å) after each atom.
Fractional positions:
I 0.5000 0.5000 0.5000  8 Ca 3.55
Sc 0.0000 0.0000 0.0000  8 Ca 3.55
Ca 0.2500 0.2500 0.2500  4 I 3.55, 4 Sc 3.55
Ca 0.7500 0.7500 0.7500  4 I 3.55, 4 Sc 3.55

Computed properties:
The energy relative to the elements, uncorrected comes out at 0.119 eV/atom. The space group is Fm-3m. The total energy is -2.852 eV/atom.

***

(2)
Density functional theory data (PBE) for crystalline NaAlPb at its relaxed geometry.

abc: 7.9543 4.8648 8.2791
angles: 90.00 90.00 90.00
With the nearest neighbours (Å) after each atom.
Fractional positions:
Pb 0.7967 0.2500 0.1019  4 Al 2.85-2.91
Pb 0.7033 0.7500 0.6019  4 Al 2.85-2.91
Pb 0.2033 0.7500 0.8981  4 Al 2.85-2.91
Pb 0.2967 0.2500 0.3981  4 Al 2.85-2.91
Na 0.0008 0.2500 0.6831  5 Pb 3.33-3.46, 6 Al 3.39-3.73
Na 0.4992 0.7500 0.1831  5 Pb 3.33-3.46, 6 Al 3.39-3.73
Na 0.9992 0.7500 0.3169  5 Pb 3.33-3.46, 6 Al 3.39-3.73
Na 0.5008 0.2500 0.8169  5 Pb 3.33-3.46, 6 Al 3.39-3.73
Al 0.1615 0.2500 0.0787  4 Pb 2.85-2.91
Al 0.3385 0.7500 0.5787  4 Pb 2.85-2.91
Al 0.8385 0.7500 0.9213  4 Pb 2.85-2.91
Al 0.6615 0.2500 0.4213  4 Pb 2.85-2.91

Computed properties:
The space group is Pnma. The calculation puts the formation energy from the elements at 1.5 kJ per mole of atoms. The total energy is -2.908 eV/atom.

***

(3)
Density functional theory data (PBE) for crystalline YNpPtRh at its relaxed geometry.

abc: 4.9011 4.9011 4.9011
angles: 60.00 60.00 60.00
With the nearest neighbours (Å) after each atom.
Fractional positions:
Np 0.0000 0.0000 0.0000  4 Pt 3.00, 4 Rh 3.00
Y 0.5000 0.5000 0.5000  4 Rh 3.00, 4 Pt 3.00
Rh 0.2500 0.2500 0.2500  4 Np 3.00, 4 Y 3.00
Pt 0.7500 0.7500 0.7500  4 Np 3.00, 4 Y 3.00

Computed properties:
The space group is F-43m. The calculation puts the formation energy from the elements at -58.6 kJ per mole of atoms. The total energy is -8.807 eV/atom.

***

(4)
Density functional theory data (PBE) for crystalline LiPa2Te8 at its relaxed geometry.

abc: 8.6617 8.0829 8.0829
angles: 120.00 90.00 90.00
With the nearest neighbours (Å) after each atom.
Fractional positions:
Li 0.5000 0.0000 0.0000  6 Te 2.67
Pa 0.8370 0.6667 0.3333  4 Te 2.85-2.89
Pa 0.1630 0.3333 0.6667  4 Te 2.85-2.89
Te 0.8298 0.3333 0.6667  1 Pa 2.89
Te 0.1702 0.6667 0.3333  1 Pa 2.89
Te 0.3594 0.1700 0.3401  1 Li 2.67, 1 Pa 2.85
Te 0.6406 0.8300 0.6599  1 Li 2.67, 1 Pa 2.85
Te 0.6406 0.3401 0.1700  1 Li 2.67, 1 Pa 2.85
Te 0.3594 0.6599 0.8300  1 Li 2.67, 1 Pa 2.85
Te 0.3594 0.1700 0.8300  1 Li 2.67, 1 Pa 2.85
Te 0.6406 0.8300 0.1700  1 Li 2.67, 1 Pa 2.85

Computed properties:
The energy relative to the elements, uncorrected comes out at -0.016 eV/atom. The space group is P-3m1. The total energy is -4.201 eV/atom.

***

(5)
Density functional theory data (PBE) for crystalline HfTi2RhN at its relaxed geometry.

abc: 4.0919 4.0919 4.3959
angles: 90.00 90.00 90.00
With the nearest neighbours (Å) after each atom.
Fractional positions:
Rh 0.5000 0.5000 0.5000  4 Hf 2.89, 8 Ti 3.00
N 0.0000 0.0000 0.0000  4 Ti 2.05, 2 Hf 2.20
Hf 0.0000 0.0000 0.5000  2 N 2.20
Ti 0.0000 0.5000 0.0000  2 N 2.05
Ti 0.5000 0.0000 0.0000  2 N 2.05

Computed properties:
The energy relative to the elements, uncorrected comes out at -1.019 eV/atom. The space group is P4/mmm. The total energy is -9.303 eV/atom.

***

(6)
Density functional theory data (PBE) for crystalline SrPm12Rh6 at its relaxed geometry.

abc: 8.6259 8.6259 8.6259
angles: 104.96 104.96 104.96
With the nearest neighbours (Å) after each atom.
Fractional positions:
Sr 0.0000 0.0000 0.0000  18 Pm 4.29-4.64, 6 Rh 4.51
Pm 0.8754 0.1246 0.5000  4 Rh 2.96-2.98
Pm 0.8150 0.5509 0.5509  3 Rh 2.86-3.03
Pm 0.5509 0.5509 0.8150  3 Rh 2.86-3.03
Pm 0.4491 0.1850 0.4491  3 Rh 2.86-3.03
Pm 0.4491 0.4491 0.1850  3 Rh 2.86-3.03
Pm 0.1850 0.4491 0.4491  3 Rh 2.86-3.03
Pm 0.1246 0.5000 0.8754  4 Rh 2.96-2.98
Pm 0.5000 0.8754 0.1246  4 Rh 2.96-2.98
Pm 0.1246 0.8754 0.5000  4 Rh 2.96-2.98
Pm 0.8754 0.5000 0.1246  4 Rh 2.96-2.98
Pm 0.5000 0.1246 0.8754  4 Rh 2.96-2.98
Pm 0.5509 0.8150 0.5509  3 Rh 2.86-3.03
Rh 0.6877 0.2518 0.2518  7 Pm 2.86-3.03
Rh 0.2518 0.2518 0.6877  7 Pm 2.86-3.03
Rh 0.2518 0.6877 0.2518  7 Pm 2.86-3.03
Rh 0.7482 0.7482 0.3123  7 Pm 2.86-3.03
Rh 0.3123 0.7482 0.7482  7 Pm 2.86-3.03
Rh 0.7482 0.3123 0.7482  7 Pm 2.86-3.03

Computed properties:
The space group is R-3m. The calculation puts the formation energy from the elements at -42.4 kJ per mole of atoms. The total energy is -5.849 eV/atom.

***

(7)
Density functional theory data (PBE) for crystalline CdIn4Ru at its relaxed geometry.

abc: 5.8353 5.8353 5.8353
angles: 60.00 60.00 60.00
With the nearest neighbours (Å) after each atom.
Fractional positions:
Cd 0.0000 0.0000 0.0000  12 In 3.42, 4 Ru 3.57
In 0.8736 0.3755 0.3755  6 In 2.91-2.93
In 0.3755 0.3755 0.8736  6 In 2.91-2.93
In 0.3755 0.8736 0.3755  6 In 2.91-2.93
In 0.3755 0.3755 0.3755  6 In 2.91-2.93
Ru 0.7500 0.7500 0.7500  12 In 3.42, 4 Cd 3.57

Computed properties:
The space group is F-43m. The calculation puts the formation energy from the elements at 57.5 kJ per mole of atoms. The total energy is -2.928 eV/atom.

***

(8)
Density functional theory data (PBE) for crystalline CdAg8Pd2 at its relaxed geometry.

abc: 4.9742 7.5620 8.1912
angles: 62.51 72.52 49.40
With the nearest neighbours (Å) after each atom.
Fractional positions:
Cd 0.5000 0.0000 0.0000  4 Ag 2.75-2.80
Ag 0.7689 0.0955 0.2945  7 Ag 2.76-3.05, 3 Pd 2.86-2.99
Ag 0.7689 0.3900 0.7055  7 Ag 2.76-3.05, 3 Pd 2.86-2.99
Ag 0.3076 0.4396 0.0000  4 Ag 2.56-2.76, 1 Cd 2.80
Ag 0.5000 0.8106 0.3788  1 Cd 2.75, 6 Ag 2.80-2.95, 2 Pd 2.88
Ag 0.5000 0.1894 0.6212  1 Cd 2.75, 6 Ag 2.80-2.95, 2 Pd 2.88
Ag 0.6924 0.5604 0.0000  4 Ag 2.56-2.76, 1 Cd 2.80
Ag 0.2311 0.6100 0.2945  7 Ag 2.76-3.05, 3 Pd 2.86-2.99
Ag 0.2311 0.9045 0.7055  7 Ag 2.76-3.05, 3 Pd 2.86-2.99
Pd 0.0000 0.3229 0.3542  12 Ag 2.86-3.15
Pd 0.0000 0.6771 0.6458  12 Ag 2.86-3.15

Computed properties:
The space group is C2/m. The calculation puts the formation energy from the elements at 8.2 kJ per mole of atoms. The total energy is -3.016 eV/atom.

***

(9)
Density functional theory data (PBE) for crystalline BaMn2Be at its relaxed geometry.

abc: 6.1866 6.1866 6.1866
angles: 37.19 37.19 37.19
With the nearest neighbours (Å) after each atom.
Fractional positions:
Be 0.7500 0.7500 0.7500  6 Mn 2.29
Mn 0.0707 0.0707 0.0707  3 Be 2.29, 3 Mn 2.32
Mn 0.4293 0.4293 0.4293  3 Be 2.29, 3 Mn 2.32
Ba 0.2500 0.2500 0.2500  2 Mn 3.09

Computed properties:
The space group is R-3m. The calculation puts the formation energy from the elements at 42.9 kJ per mole of atoms. The total energy is -5.552 eV/atom.

***

(10)
Density functional theory data (PBE) for crystalline TcMo2Cl at its relaxed geometry.

abc: 2.8346 2.8346 8.6970
angles: 90.00 90.00 112.85
With the nearest neighbours (Å) after each atom.
Fractional positions:
Cl 0.5000 0.5000 0.7605  2 Mo 2.62, 4 Cl 2.83, 2 Tc 2.85
Mo 0.0000 0.0000 0.0013  2 Cl 2.62, 6 Mo 2.68-2.83
Mo 0.5000 0.5000 0.2518  2 Tc 2.57, 6 Mo 2.68-2.83
Tc 0.0000 0.0000 0.4864  2 Mo 2.57, 4 Tc 2.83, 2 Cl 2.85

Computed properties:
The energy relative to the elements, uncorrected comes out at 0.392 eV/atom. The space group is Cmm2. The total energy is -8.077 eV/atom.

***

(11)
Density functional theory data (PBE) for crystalline TaTl2W at its relaxed geometry.

abc: 3.3199 3.3218 8.5334
angles: 78.63 90.00 90.00
With the nearest neighbours (Å) after each atom.
Fractional positions:
Ta 0.5000 0.8391 0.6962  4 W 2.66
Tl 0.0000 0.2029 0.9610  4 Ta 3.22-3.23, 6 Tl 3.26-3.32, 1 W 3.47
Tl 0.5000 0.0428 0.2965  4 W 3.14-3.15, 6 Tl 3.26-3.32, 1 Ta 3.34
W 0.0000 0.4152 0.5463  4 Ta 2.66

Computed properties:
The space group is Pm. The calculation puts the formation energy from the elements at 55.0 kJ per mole of atoms. The total energy is -6.815 eV/atom.

***

(12)
Density functional theory data (PBE) for crystalline Ac7MnI12 at its relaxed geometry.

abc: 12.1259 10.5680 10.5680
angles: 106.29 112.49 112.49
With the nearest neighbours (Å) after each atom.
Fractional positions:
Ac 0.0999 0.7984 0.0828  1 Mn 3.00
Ac 0.9830 0.0828 0.2844  1 Mn 3.00
Ac 0.6986 0.7156 0.7984  1 Mn 3.00
Ac 0.5000 0.0000 0.0000  6 I 3.28
Ac 0.3014 0.2844 0.2016  1 Mn 3.00
Ac 0.0170 0.9172 0.7156  1 Mn 3.00
Ac 0.9001 0.2016 0.9172  1 Mn 3.00
Mn 0.0000 0.0000 0.0000  6 Ac 3.00
I 0.2213 0.5505 0.1515  3 Ac 3.38-3.57
I 0.9302 0.1515 0.6010  3 Ac 3.38-3.57
I 0.6201 0.7844 0.0840  3 Ac 3.28-3.51
I 0.4640 0.0840 0.2996  3 Ac 3.28-3.51
I 0.3292 0.3990 0.5505  3 Ac 3.38-3.57
I 0.1643 0.7004 0.7844  3 Ac 3.28-3.51
I 0.8357 0.2996 0.2156  3 Ac 3.28-3.51
I 0.6708 0.6010 0.4495  3 Ac 3.38-3.57
I 0.5360 0.9160 0.7004  3 Ac 3.28-3.51
I 0.3799 0.2156 0.9160  3 Ac 3.28-3.51
I 0.0698 0.8485 0.3990  3 Ac 3.38-3.57
I 0.7787 0.4495 0.8485  3 Ac 3.38-3.57

Computed properties:
The energy relative to the elements, uncorrected comes out at -1.212 eV/atom. The space group is R-3. The total energy is -4.039 eV/atom.